{
  "formula": "Ac16Pm6Nd7",
  "functional": "PBE-GGA",
  "state": "relaxed",
  "lattice": [[-7.965, 5.155, 7.425], [-3.988, -5.996, 9.659], [3.396, 3.423, 11.041]],
  "species": ["Ac", "Ac", "Ac", "Ac", "Ac", "Ac", "Ac", "Ac", "Ac", "Ac", "Ac", "Ac", "Ac", "Ac", "Ac", "Ac", "Pm", "Pm", "Pm", "Pm", "Pm", "Pm", "Nd", "Nd", "Nd", "Nd", "Nd", "Nd", "Nd"],
  "frac_coords": [[0.875, 0.875, 0.375], [0.875, 0.875, 0.875], [0.875, 0.375, 0.875], [0.375, 0.875, 0.875], [0.125, 0.125, 0.125], [0.125, 0.125, 0.625], [0.125, 0.625, 0.125], [0.625, 0.125, 0.125], [0.647, 0.647, 0.059], [0.647, 0.647, 0.647], [0.647, 0.059, 0.647], [0.059, 0.647, 0.647], [0.353, 0.353, 0.353], [0.353, 0.353, 0.941], [0.353, 0.941, 0.353], [0.941, 0.353, 0.353], [0.258, 0.742, 0.258], [0.742, 0.258, 0.742], [0.742, 0.258, 0.258], [0.258, 0.742, 0.742], [0.742, 0.742, 0.258], [0.258, 0.258, 0.742], [0.000, 0.000, 0.000], [0.500, 0.000, 0.500], [0.000, 0.500, 0.000], [0.000, 0.500, 0.500], [0.500, 0.000, 0.000], [0.000, 0.000, 0.500], [0.500, 0.500, 0.000]],
  "spacegroup": "Fm-3m",
  "energy_ev_per_cell": -121.8,
  "dos_at_fermi_per_ev_cell": 39.567,
  "delta_e_f_ev_per_atom": 0.200
}


{
  "formula": "Sn5Pb7",
  "functional": "PBE-GGA",
  "state": "relaxed",
  "lattice": [[3.538, 0.000, 0.000], [0.000, 9.571, 0.000], [0.000, 0.000, 10.641]],
  "species": ["Sn", "Sn", "Sn", "Sn", "Sn", "Pb", "Pb", "Pb", "Pb", "Pb", "Pb", "Pb"],
  "frac_coords": [[0.000, 0.003, 0.175], [0.500, 0.254, 0.336], [0.000, 0.489, 0.500], [0.000, 0.003, 0.825], [0.500, 0.254, 0.664], [0.500, 0.746, 0.665], [0.500, 0.234, 0.000], [0.000, 0.497, 0.167], [0.500, 0.746, 0.335], [0.000, 0.009, 0.500], [0.000, 0.497, 0.833], [0.500, 0.766, 0.000]],
  "spacegroup": "Pmm2",
  "energy_ev_per_cell": -45.5,
  "dos_at_fermi_per_ev_cell": 5.013,
  "de_polymorph_kj_per_mol_fu": 0.0,
  "delta_e_f_ev_per_atom": 0.036
}


{
  "formula": "SrZnTe2O6",
  "functional": "PBE-GGA",
  "state": "relaxed",
  "lattice": [[7.665, 0.142, 0.147], [2.525, 7.426, -1.776], [2.525, -2.050, 7.355]],
  "species": ["Sr", "Sr", "Zn", "Zn", "Te", "Te", "Te", "Te", "O", "O", "O", "O", "O", "O", "O", "O", "O", "O", "O", "O"],
  "frac_coords": [[0.250, 0.948, 0.052], [0.750, 0.052, 0.948], [0.250, 0.215, 0.785], [0.750, 0.785, 0.215], [0.330, 0.742, 0.554], [0.170, 0.446, 0.258], [0.670, 0.258, 0.446], [0.830, 0.554, 0.742], [0.131, 0.017, 0.798], [0.369, 0.202, 0.983], [0.869, 0.983, 0.202], [0.631, 0.798, 0.017], [0.524, 0.819, 0.452], [0.976, 0.548, 0.181], [0.476, 0.181, 0.548], [0.024, 0.452, 0.819], [0.932, 0.706, 0.642], [0.568, 0.358, 0.294], [0.068, 0.294, 0.358], [0.432, 0.642, 0.706]],
  "formation_energy_uncorrected_ev_per_atom": -1.487,
  "spacegroup": "C2/c",
  "energy_ev_per_cell": -107.7,
  "dos_at_fermi_per_ev_cell": 0.000
}


{
  "formula": "AcCe2Nd3S6",
  "functional": "PBE-GGA",
  "state": "relaxed",
  "lattice": [[-6.145, -2.624, -2.395], [2.175, -1.495, 6.589], [-1.877, 6.802, 0.884]],
  "species": ["Ac", "Ce", "Ce", "Nd", "Nd", "Nd", "S", "S", "S", "S", "S", "S"],
  "frac_coords": [[0.000, 0.000, 0.000], [0.333, 0.667, 0.000], [0.667, 0.333, 0.000], [0.163, 0.837, 0.500], [0.837, 0.163, 0.500], [0.500, 0.500, 0.500], [0.915, 0.572, 0.745], [0.740, 0.740, 0.250], [0.085, 0.428, 0.255], [0.572, 0.915, 0.745], [0.260, 0.260, 0.750], [0.428, 0.085, 0.255]],
  "formation_energy_uncorrected_ev_per_atom": -2.020,
  "spacegroup": "C2/m",
  "energy_ev_per_cell": -79.3,
  "dos_at_fermi_per_ev_cell": 13.185
}


{
  "formula": "Nd12Ag6Hg",
  "functional": "PBE-GGA",
  "state": "relaxed",
  "lattice": [[-1.083, -1.364, -8.873], [-2.820, -7.147, 4.768], [-4.179, 7.560, 2.673]],
  "species": ["Nd", "Nd", "Nd", "Nd", "Nd", "Nd", "Nd", "Nd", "Nd", "Nd", "Nd", "Nd", "Ag", "Ag", "Ag", "Ag", "Ag", "Ag", "Hg"],
  "frac_coords": [[0.806, 0.658, 0.524], [0.524, 0.806, 0.658], [0.658, 0.524, 0.806], [0.194, 0.342, 0.476], [0.476, 0.194, 0.342], [0.342, 0.476, 0.194], [0.886, 0.825, 0.262], [0.175, 0.738, 0.114], [0.738, 0.114, 0.175], [0.114, 0.175, 0.738], [0.825, 0.262, 0.886], [0.262, 0.886, 0.825], [0.651, 0.950, 0.421], [0.579, 0.349, 0.050], [0.050, 0.579, 0.349], [0.349, 0.050, 0.579], [0.421, 0.651, 0.950], [0.950, 0.421, 0.651], [0.000, 0.000, 0.000]],
  "spacegroup": "R-3",
  "energy_ev_per_cell": -76.3,
  "dos_at_fermi_per_ev_cell": 22.481,
  "delta_e_f_ev_per_atom": -0.089
}


{
  "formula": "BaTlBr2",
  "functional": "PBE-GGA",
  "state": "relaxed",
  "lattice": [[-4.911, -2.733, 1.435], [-0.324, -2.959, 4.978], [-3.266, 2.001, 4.356]],
  "species": ["Tl", "Ba", "Br", "Br"],
  "frac_coords": [[0.750, 0.750, 0.750], [0.500, 0.500, 0.500], [0.000, 0.000, 0.000], [0.250, 0.250, 0.250]],
  "formation_energy_uncorrected_ev_per_atom": -0.955,
  "spacegroup": "F-43m",
  "energy_ev_per_cell": -11.5,
  "dos_at_fermi_per_ev_cell": 3.485,
  "de_polymorph_kj_per_mol_fu": 145.9
}


{
  "formula": "Rb2NaPbCl5",
  "functional": "PBE-GGA",
  "state": "relaxed",
  "lattice": [[4.465, 0.000, 0.000], [-2.233, 9.232, 0.000], [0.000, 0.000, 14.501]],
  "species": ["Rb", "Rb", "Rb", "Rb", "Na", "Na", "Pb", "Pb", "Cl", "Cl", "Cl", "Cl", "Cl", "Cl", "Cl", "Cl", "Cl", "Cl"],
  "frac_coords": [[0.868, 0.737, 0.802], [0.092, 0.183, 0.669], [0.132, 0.263, 0.302], [0.908, 0.817, 0.169], [0.535, 0.069, 0.953], [0.465, 0.931, 0.453], [0.781, 0.562, 0.523], [0.219, 0.438, 0.023], [0.376, 0.752, 0.994], [0.695, 0.390, 0.895], [0.498, 0.995, 0.777], [0.272, 0.544, 0.660], [0.935, 0.869, 0.550], [0.624, 0.248, 0.494], [0.305, 0.610, 0.395], [0.502, 0.005, 0.277], [0.728, 0.456, 0.160], [0.065, 0.131, 0.050]],
  "formation_energy_uncorrected_ev_per_atom": -1.652,
  "spacegroup": "Cmc2_1",
  "energy_ev_per_cell": -62.1,
  "dos_at_fermi_per_ev_cell": 0.000
}


{
  "formula": "La4AgPd3",
  "functional": "PBE-GGA",
  "state": "relaxed",
  "lattice": [[3.990, 0.000, 0.000], [0.000, 4.783, 0.000], [0.000, 0.000, 11.159]],
  "species": ["La", "La", "La", "La", "Ag", "Pd", "Pd", "Pd"],
  "frac_coords": [[0.500, 0.500, 0.374], [0.000, 0.500, 0.856], [0.000, 0.000, 0.138], [0.500, 0.000, 0.636], [0.500, 0.500, 0.081], [0.000, 0.500, 0.589], [0.000, 0.000, 0.413], [0.500, 0.000, 0.914]],
  "spacegroup": "Pmm2",
  "energy_ev_per_cell": -43.5,
  "dos_at_fermi_per_ev_cell": 6.552,
  "delta_e_f_ev_per_atom": -0.676
}


{
  "formula": "ZnCr",
  "functional": "PBE-GGA",
  "state": "relaxed",
  "lattice": [[-8.491, -6.028, -4.053], [1.630, -1.393, -1.343], [0.545, -4.012, 4.825]],
  "species": ["Zn", "Zn", "Zn", "Zn", "Zn", "Zn", "Cr", "Cr", "Cr", "Cr", "Cr", "Cr"],
  "frac_coords": [[0.773, 0.962, 0.289], [0.727, 0.038, 0.789], [0.227, 0.962, 0.289], [0.273, 0.038, 0.789], [0.000, 0.936, 0.934], [0.500, 0.064, 0.434], [0.898, 0.534, 0.589], [0.602, 0.466, 0.089], [0.102, 0.534, 0.589], [0.398, 0.466, 0.089], [0.000, 0.292, 0.312], [0.500, 0.708, 0.812]],
  "spacegroup": "Pmn2_1",
  "energy_ev_per_cell": -61.1,
  "dos_at_fermi_per_ev_cell": 7.865,
  "delta_e_f_ev_per_atom": 0.361
}


{
  "formula": "Mg8Sc3",
  "functional": "PBE-GGA",
  "state": "relaxed",
  "lattice": [[-2.613, -3.693, 2.230], [0.596, -4.776, -1.508], [7.686, -4.168, 7.806]],
  "species": ["Mg", "Mg", "Mg", "Mg", "Mg", "Mg", "Mg", "Mg", "Sc", "Sc", "Sc"],
  "frac_coords": [[0.637, 0.637, 0.089], [0.363, 0.363, 0.911], [0.728, 0.728, 0.817], [0.272, 0.272, 0.183], [0.822, 0.822, 0.534], [0.178, 0.178, 0.466], [0.911, 0.911, 0.268], [0.089, 0.089, 0.732], [0.000, 0.000, 0.000], [0.547, 0.547, 0.360], [0.453, 0.453, 0.640]],
  "spacegroup": "R-3m",
  "energy_ev_per_cell": -32.0,
  "dos_at_fermi_per_ev_cell": 7.663,
  "delta_e_f_ev_per_atom": -0.024
}


{
  "formula": "Ba2CdTc",
  "functional": "PBE-GGA",
  "state": "relaxed",
  "lattice": [[-8.840, 6.970, 1.450], [-6.448, -8.818, 3.079], [-6.923, -0.548, 4.851]],
  "species": ["Tc", "Tc", "Ba", "Ba", "Ba", "Ba", "Cd", "Cd"],
  "frac_coords": [[0.500, 0.500, 0.000], [0.250, 0.750, 0.500], [0.418, 0.125, 0.250], [0.332, 0.625, 0.250], [0.375, 0.582, 0.750], [0.875, 0.668, 0.750], [0.000, 0.000, 0.000], [0.750, 0.250, 0.500]],
  "spacegroup": "I-42d",
  "energy_ev_per_cell": -25.9,
  "dos_at_fermi_per_ev_cell": 7.341,
  "de_polymorph_kj_per_mol_fu": 35.3,
  "delta_e_f_ev_per_atom": 0.541
}


{
  "formula": "Sn2MoOsRh",
  "functional": "PBE-GGA",
  "state": "relaxed",
  "lattice": [[5.144, 0.000, 0.000], [0.000, 4.607, 0.000], [0.000, 0.000, 5.144]],
  "species": ["Rh", "Mo", "Os", "Sn", "Sn"],
  "frac_coords": [[0.000, 0.500, 0.000], [0.000, 0.000, 0.000], [0.500, 0.500, 0.500], [0.000, 0.000, 0.500], [0.500, 0.000, 0.000]],
  "spacegroup": "P4/mmm",
  "energy_ev_per_cell": -29.1,
  "dos_at_fermi_per_ev_cell": 5.628,
  "delta_e_f_ev_per_atom": 1.667
}


{
  "formula": "K2RbBa",
  "functional": "PBE-GGA",
  "state": "relaxed",
  "lattice": [[-0.187, 2.291, 4.320], [-3.940, -5.995, 3.008], [6.701, -3.363, 2.074]],
  "species": ["K", "K", "Ba", "Rb"],
  "frac_coords": [[0.000, 0.000, 0.500], [0.000, 0.500, 0.000], [0.500, 0.500, 0.500], [0.500, 0.000, 0.000]],
  "spacegroup": "P4/mmm",
  "energy_ev_per_cell": -4.7,
  "dos_at_fermi_per_ev_cell": 4.611,
  "de_polymorph_kj_per_mol_fu": 17.1,
  "delta_e_f_ev_per_atom": 0.097
}


{
  "formula": "MnNb5Tc4",
  "functional": "PBE-GGA",
  "state": "relaxed",
  "lattice": [[3.175, 0.000, 0.000], [0.000, 3.175, 0.000], [0.000, 0.000, 15.837]],
  "species": ["Mn", "Nb", "Nb", "Nb", "Nb", "Nb", "Tc", "Tc", "Tc", "Tc"],
  "frac_coords": [[0.000, 0.000, 0.000], [0.500, 0.500, 0.096], [0.500, 0.500, 0.298], [0.500, 0.500, 0.500], [0.500, 0.500, 0.702], [0.500, 0.500, 0.904], [0.000, 0.000, 0.196], [0.000, 0.000, 0.399], [0.000, 0.000, 0.601], [0.000, 0.000, 0.804]],
  "spacegroup": "P4/mmm",
  "energy_ev_per_cell": -103.9,
  "dos_at_fermi_per_ev_cell": 3.216,
  "delta_e_f_ev_per_atom": -0.291
}


{
  "formula": "YAsBr2",
  "functional": "PBE-GGA",
  "state": "relaxed",
  "lattice": [[1.817, 1.113, 4.657], [-2.848, 2.716, 3.278], [-2.000, -2.261, 4.137]],
  "species": ["Y", "As", "Br", "Br"],
  "frac_coords": [[0.500, 0.500, 0.500], [0.000, 0.000, 0.000], [0.250, 0.250, 0.250], [0.750, 0.750, 0.750]],
  "formation_energy_uncorrected_ev_per_atom": -0.524,
  "spacegroup": "Fm-3m",
  "energy_ev_per_cell": -16.6,
  "dos_at_fermi_per_ev_cell": 2.894,
  "de_polymorph_kj_per_mol_fu": 229.8
}


{
  "formula": "YErU2As4",
  "functional": "PBE-GGA",
  "state": "relaxed",
  "lattice": [[-3.738, -0.754, -1.395], [-0.936, -4.771, 5.085], [-2.179, 6.413, 2.373]],
  "species": ["Y", "Er", "U", "U", "As", "As", "As", "As"],
  "frac_coords": [[0.000, 0.000, 0.000], [0.500, 0.500, 0.000], [0.500, 0.000, 0.500], [0.000, 0.500, 0.500], [0.500, 0.252, 0.251], [0.500, 0.748, 0.749], [0.000, 0.251, 0.750], [0.000, 0.749, 0.250]],
  "spacegroup": "P2/m",
  "energy_ev_per_cell": -61.3,
  "dos_at_fermi_per_ev_cell": 7.044,
  "delta_e_f_ev_per_atom": -1.138
}


{
  "formula": "Al2AgAu3",
  "functional": "PBE-GGA",
  "state": "relaxed",
  "lattice": [[5.002, 0.000, 0.000], [-2.501, 7.489, -1.041], [0.000, -4.304, 6.217]],
  "species": ["Al", "Al", "Al", "Al", "Ag", "Ag", "Au", "Au", "Au", "Au", "Au", "Au"],
  "frac_coords": [[0.526, 0.052, 0.845], [0.474, 0.948, 0.155], [0.804, 0.607, 0.150], [0.196, 0.393, 0.850], [0.874, 0.748, 0.877], [0.126, 0.252, 0.123], [0.304, 0.608, 0.663], [0.958, 0.915, 0.626], [0.633, 0.267, 0.681], [0.367, 0.733, 0.319], [0.042, 0.085, 0.374], [0.696, 0.392, 0.337]],
  "spacegroup": "C2/m",
  "energy_ev_per_cell": -43.2,
  "dos_at_fermi_per_ev_cell": 3.321,
  "de_polymorph_kj_per_mol_fu": 0.0,
  "delta_e_f_ev_per_atom": -0.235
}


{
  "formula": "SiSnPb2F",
  "functional": "PBE-GGA",
  "state": "relaxed",
  "lattice": [[5.515, 0.000, 0.000], [0.000, 5.162, 0.000], [0.000, 0.000, 5.515]],
  "species": ["Pb", "Pb", "Si", "Sn", "F"],
  "frac_coords": [[0.000, 0.000, 0.500], [0.500, 0.000, 0.000], [0.000, 0.000, 0.000], [0.000, 0.500, 0.000], [0.500, 0.500, 0.500]],
  "formation_energy_uncorrected_ev_per_atom": 0.133,
  "spacegroup": "P4/mmm",
  "energy_ev_per_cell": -18.0,
  "dos_at_fermi_per_ev_cell": 2.627
}


{
  "formula": "LaMgAl2Pd4",
  "functional": "PBE-GGA",
  "state": "relaxed",
  "lattice": [[4.340, 0.000, 0.000], [2.170, 3.758, 0.000], [2.170, 1.253, 8.931]],
  "species": ["La", "Mg", "Al", "Al", "Pd", "Pd", "Pd", "Pd"],
  "frac_coords": [[0.000, 0.000, 0.000], [0.500, 0.500, 0.500], [0.765, 0.765, 0.706], [0.235, 0.235, 0.294], [0.403, 0.403, 0.791], [0.869, 0.869, 0.394], [0.131, 0.131, 0.606], [0.597, 0.597, 0.209]],
  "spacegroup": "R-3m",
  "energy_ev_per_cell": -41.4,
  "dos_at_fermi_per_ev_cell": 3.477,
  "delta_e_f_ev_per_atom": -0.826
}


{
  "formula": "PrHo3ThSc",
  "functional": "PBE-GGA",
  "state": "relaxed",
  "lattice": [[-0.405, -1.748, -4.688], [1.092, -7.333, 2.639], [-9.946, 3.359, -0.394]],
  "species": ["Pr", "Pr", "Ho", "Ho", "Ho", "Ho", "Ho", "Ho", "Th", "Th", "Sc", "Sc"],
  "frac_coords": [[0.250, 0.123, 0.297], [0.750, 0.877, 0.703], [0.750, 0.870, 0.046], [0.250, 0.130, 0.954], [0.250, 0.634, 0.457], [0.750, 0.366, 0.543], [0.750, 0.387, 0.209], [0.250, 0.613, 0.791], [0.250, 0.622, 0.124], [0.750, 0.378, 0.876], [0.250, 0.129, 0.627], [0.750, 0.871, 0.373]],
  "spacegroup": "P2_1/m",
  "energy_ev_per_cell": -64.0,
  "dos_at_fermi_per_ev_cell": 19.220,
  "delta_e_f_ev_per_atom": 0.043
}